1.
The following is a SCAN calculation of a crystal of MoPBr relaxed with PBEsol, from Alexandria.

a = 3.4042 Å, b = 5.2532 Å, c = 12.6566 Å
α = 90.00°, β = 90.00°, γ = 90.00°
Space group Fmm2 (No. 42)
Symmetry-distinct sites (fractional):
Mo1 0.0000 0.0000 0.0000 x4
P1 0.0000 0.0000 0.3781 x4
Br1 0.0000 0.0000 0.6631 x4

Results
The mass density comes out at 6.069 g cm⁻³. Its raw formation energy is 0.362 eV per atom.

***

2.
The following is a SCAN calculation of a crystal of MnGa relaxed with PBEsol, from Alexandria.

a = 2.6897 Å, b = 2.6897 Å, c = 4.0154 Å
α = 90.00°, β = 90.00°, γ = 120.00°
Space group P-6m2 (No. 187)
Symmetry-distinct sites (fractional):
Mn1 0.0000 0.0000 0.0000 x1
Ga1 0.6667 0.3333 0.5000 x1

Results
The calculation puts the formation energy at -0.13 eV/atom. The mass density comes out at 8.228 g cm⁻³.

***

3.
The following is a SCAN calculation of a crystal of Cr2TcMo relaxed with PBEsol, from Alexandria.

a = 2.9829 Å, b = 4.1335 Å, c = 4.2368 Å
α = 90.00°, β = 90.00°, γ = 90.00°
Space group Pmmm (No. 47)
Symmetry-distinct sites (fractional):
Cr1 0.0000 0.0000 0.0000 x1
Cr2 0.5000 0.0000 0.5000 x1
Tc1 0.0000 0.5000 0.5000 x1
Mo1 0.5000 0.5000 0.0000 x1

Results
The calculation puts the formation energy at 0.01 eV/atom. The mass density comes out at 9.471 g cm⁻³. The energy relative to the lowest polymorph listed for this composition comes out at 0.488 kcal/mol of atoms.

***

4.
The following is a SCAN calculation of a crystal of Zn2FeNi relaxed with PBEsol, from Alexandria.

a = 2.5985 Å, b = 3.4396 Å, c = 5.2740 Å
α = 90.00°, β = 90.00°, γ = 90.00°
Space group Pmmm (No. 47)
Symmetry-distinct sites (fractional):
Zn1 0.0000 0.0000 0.2442 x2
Fe1 0.5000 0.5000 0.5000 x1
Ni1 0.5000 0.5000 0.0000 x1

Results
The calculation puts the formation energy at -0.08 eV/atom. The mass density comes out at 8.643 g cm⁻³.

***

5.
The following is a SCAN calculation of a crystal of ZrTc2Sb relaxed with PBEsol, from Alexandria.

a = 9.0386 Å, b = 3.2281 Å, c = 4.9526 Å
α = 90.00°, β = 107.38°, γ = 90.00°
Space group C2/m (No. 12)
Symmetry-distinct sites (fractional):
Zr1 0.0000 0.0000 0.0000 x2
Tc1 0.2448 0.0000 0.7369 x4
Sb1 0.0000 0.5000 0.5000 x2

Results
The mass density comes out at 9.849 g cm⁻³. Its raw formation energy is -0.063 eV per atom.

***

6.
The following is a SCAN calculation of a crystal of AgRuC2 relaxed with PBEsol, from Alexandria.

a = 4.7639 Å, b = 4.7639 Å, c = 9.1621 Å
α = 90.00°, β = 90.00°, γ = 90.00°
Space group I-42d (No. 122)
Symmetry-distinct sites (fractional):
Ag1 0.0000 0.0000 0.0000 x4
Ru1 0.0000 0.0000 0.5000 x4
C1 0.1983 0.2500 0.6250 x8

Results
The calculation puts the formation energy at 1.10 eV/atom. The mass density comes out at 7.442 g cm⁻³.

***

7.
The following is a SCAN calculation of a crystal of DyMoBrO4 relaxed with PBEsol, from Alexandria.

a = 6.7938 Å, b = 7.1672 Å, c = 10.8794 Å
α = 105.21°, β = 107.60°, γ = 93.09°
Space group P-1 (No. 2)
Symmetry-distinct sites (fractional):
Dy1 0.1097 0.3457 0.2320 x2
Dy2 0.1412 0.1210 0.7314 x2
Mo1 0.2338 0.8110 0.1335 x2
Mo2 0.2715 0.5933 0.6285 x2
Br1 0.2432 0.0024 0.4851 x2
Br2 0.3044 0.2873 0.0191 x2
O1 0.1086 0.0184 0.1828 x2
O2 0.1254 0.6473 0.2028 x2
O3 0.1537 0.7950 0.7030 x2
O4 0.1697 0.7276 0.9585 x2
O5 0.1709 0.5052 0.4515 x2
O6 0.2147 0.4128 0.7000 x2
O7 0.4592 0.3493 0.3254 x2
O8 0.4960 0.1351 0.7943 x2

Results
The mass density comes out at 5.543 g cm⁻³. Its raw formation energy is -2.643 eV per atom.

***

8.
The following is a SCAN calculation of a crystal of Ca2CdPBr relaxed with PBEsol, from Alexandria.

a = 5.4305 Å, b = 5.4305 Å, c = 5.0369 Å
α = 90.00°, β = 90.00°, γ = 90.00°
Space group P4/mmm (No. 123)
Symmetry-distinct sites (fractional):
Ca1 0.0000 0.5000 0.0000 x2
Cd1 0.0000 0.0000 0.5000 x1
P1 0.5000 0.5000 0.5000 x1
Br1 0.5000 0.5000 0.0000 x1

Results
The mass density comes out at 3.392 g cm⁻³. Its raw formation energy is -0.141 eV per atom.

***

9.
The following is a SCAN calculation of a crystal of EuSi2Ir2 relaxed with PBEsol, from Alexandria.

a = 4.0706 Å, b = 4.0706 Å, c = 10.0821 Å
α = 90.00°, β = 90.00°, γ = 90.00°
Space group I4/mmm (No. 139)
Symmetry-distinct sites (fractional):
Eu1 0.0000 0.0000 0.0000 x2
Si1 0.0000 0.0000 0.3751 x4
Ir1 0.0000 0.5000 0.2500 x4

Results
The mass density comes out at 11.780 g cm⁻³. Its raw formation energy is -1.082 eV per atom.

***

10.
The following is a SCAN calculation of a crystal of InP2S2 relaxed with PBEsol, from Alexandria.

a = 4.5099 Å, b = 4.5099 Å, c = 4.5958 Å
α = 90.00°, β = 90.00°, γ = 90.00°
Space group P4/mmm (No. 123)
Symmetry-distinct sites (fractional):
In1 0.0000 0.0000 0.0000 x1
P1 0.0000 0.5000 0.5000 x2
S1 0.5000 0.5000 0.0000 x1
S2 0.5000 0.5000 0.5000 x1

Results
The mass density comes out at 4.279 g cm⁻³. Its raw formation energy is 0.768 eV per atom.

***

11.
The following is a SCAN calculation of a crystal of LaZnPt2 relaxed with PBEsol, from Alexandria.

a = 3.8675 Å, b = 4.4785 Å, c = 4.9739 Å
α = 90.00°, β = 99.20°, γ = 90.00°
Space group Pm (No. 6)
Symmetry-distinct sites (fractional):
La1 0.0000 0.0000 0.0000 x1
Zn1 0.4176 0.5000 0.6427 x1
Pt1 0.5251 0.5000 0.1454 x1
Pt2 0.5639 0.0000 0.4718 x1

Results
The calculation puts the formation energy at -0.91 eV/atom. The mass density comes out at 11.608 g cm⁻³.

***

12.
The following is a SCAN calculation of a crystal of RbHfSb2N relaxed with PBEsol, from Alexandria.

a = 5.8063 Å, b = 5.8063 Å, c = 4.0694 Å
α = 90.00°, β = 90.00°, γ = 90.00°
Space group P4/mmm (No. 123)
Symmetry-distinct sites (fractional):
Rb1 0.0000 0.0000 0.0000 x1
Hf1 0.5000 0.5000 0.5000 x1
Sb1 0.0000 0.5000 0.5000 x2
N1 0.5000 0.5000 0.0000 x1

Results
The mass density comes out at 6.312 g cm⁻³. Its raw formation energy is -0.006 eV per atom.

***

no.,VASP energy (eV per atom)
1,-21.219
2,-17.435
3,-26.671
4,-15.417
5,-34.583
6,-20.494
7,-20.796
8,-16.061
9,-44.270
10,-13.920
11,-50.163
12,-33.451